1.
Entry from the Open Quantum Materials Database: crystalline ErCu5Sn2 at its relaxed geometry (PBE).

total energy = -3.752 eV per atom

extended XYZ file:
```
8
Lattice="4.182 0.000 0.000 0.000 4.182 0.000 0.000 0.000 9.576" Properties=species:S:1:pos:R:3 pbc="T T T"
Er 0.000 0.000 0.000
Cu 0.000 2.091 1.800
Cu 0.000 2.091 7.777
Cu 2.091 0.000 1.800
Cu 2.091 0.000 7.777
Cu 2.091 2.091 0.000
Sn 2.091 2.091 3.321
Sn 2.091 2.091 6.255
```

---

2.
Entry from the Open Quantum Materials Database: crystalline TbErCu2Sn at its relaxed geometry (PBE).

total energy = -4.597 eV per atom

extended XYZ file:
```
5
Lattice="3.606 0.000 0.000 0.000 2.109 6.877 0.000 -2.109 6.877" Properties=species:S:1:pos:R:3 pbc="T T T"
Tb 0.000 0.000 0.000
Er 0.000 0.000 3.606
Cu 1.803 0.000 5.886
Cu 1.803 0.000 11.433
Sn 1.803 0.000 8.685
```